(1)
Rb4PuO4 after structural relaxation, computed with PBE.

```
Rb4PuO4
1.0
3.537 0.000 0.836
1.395 6.401 2.000
-0.777 -0.062 11.189
Rb Pu O
4 1 4
direct
0.722 0.405 0.151 Rb
0.926 0.832 0.316 Rb
0.278 0.595 0.849 Rb
0.074 0.168 0.684 Rb
0.500 0.000 0.000 Pu
0.379 0.078 0.165 O
0.621 0.922 0.835 O
0.923 0.218 0.935 O
0.077 0.782 0.065 O
```

Computed properties:
Crystal system: monoclinic
Density of states at the Fermi level (states/eV/f.u.): 6.94
Total DFT energy (no corrections) (eV/atom): -6.06
Symmetry: C2/m, No. 12
Magnetic moment (μB/cell): 3.07


(2)
Rb3PuO3 after structural relaxation, computed with PBE.

```
Rb3PuO3
1.0
5.655 0.000 0.000
0.000 11.359 0.000
0.000 0.000 11.216
Rb Pu O
12 4 12
direct
0.000 0.127 0.628 Rb
0.500 0.132 0.373 Rb
0.500 0.148 0.852 Rb
0.000 0.352 0.352 Rb
0.000 0.368 0.873 Rb
0.500 0.373 0.128 Rb
0.500 0.627 0.872 Rb
0.000 0.632 0.127 Rb
0.000 0.648 0.648 Rb
0.500 0.852 0.148 Rb
0.500 0.868 0.627 Rb
0.000 0.873 0.372 Rb
0.000 0.109 0.111 Pu
0.500 0.391 0.611 Pu
0.500 0.609 0.389 Pu
0.000 0.891 0.889 Pu
0.000 0.087 0.912 O
0.000 0.105 0.297 O
0.500 0.207 0.606 O
0.000 0.293 0.106 O
0.500 0.395 0.797 O
0.500 0.413 0.412 O
0.500 0.587 0.588 O
0.500 0.605 0.203 O
0.000 0.707 0.894 O
0.500 0.793 0.394 O
0.000 0.895 0.703 O
0.000 0.913 0.088 O
```

Computed properties:
Crystal system: orthorhombic
Density of states at the Fermi level (states/eV/f.u.): 7.52
Total DFT energy (no corrections) (eV/atom): -6.31
Symmetry: Pnnm, No. 58
Magnetic moment (μB/cell): 18.42


(3)
Rb2PuRh3O12 after structural relaxation, computed with PBE.

```
Rb2PuRh3O12
1.0
-2.073 -3.131 -6.462
3.422 -6.020 -2.813
-3.303 -6.696 -0.328
Rb Pu Rh O
2 1 3 12
direct
0.616 0.616 0.616 Rb
0.384 0.384 0.384 Rb
0.000 0.000 0.000 Pu
0.500 0.000 0.000 Rh
0.000 0.500 0.000 Rh
0.000 0.000 0.500 Rh
0.318 0.318 0.922 O
0.929 0.929 0.326 O
0.326 0.929 0.929 O
0.922 0.318 0.318 O
0.929 0.326 0.929 O
0.318 0.922 0.318 O
0.682 0.682 0.078 O
0.071 0.071 0.674 O
0.674 0.071 0.071 O
0.078 0.682 0.682 O
0.071 0.674 0.071 O
0.682 0.078 0.682 O
```

Computed properties:
Crystal system: trigonal
Density of states at the Fermi level (states/eV/f.u.): 17.79
Total DFT energy (no corrections) (eV/atom): -6.64
Symmetry: R-3m, No. 166
Magnetic moment (μB/cell): 0.10


(4)
Rb2PuRhO6 after structural relaxation, computed with PBE.

```
Rb2PuRhO6
1.0
-4.722 -2.494 1.587
1.409 -4.962 -3.607
1.918 0.181 5.992
Rb Pu Rh O
2 1 1 6
direct
0.342 0.333 0.667 Rb
0.658 0.667 0.333 Rb
0.000 0.000 0.000 Pu
0.500 0.000 0.000 Rh
0.750 0.139 0.278 O
0.750 0.139 0.861 O
0.750 0.722 0.861 O
0.250 0.861 0.139 O
0.250 0.278 0.139 O
0.250 0.861 0.722 O
```

Computed properties:
Crystal system: trigonal
Total DFT energy (no corrections) (eV/atom): -7.07
Symmetry: P-3m1, No. 164
Magnetic moment (μB/cell): 1.18


(5)
Rb2PuRuO6 after structural relaxation, computed with PBE.

```
Rb2PuRuO6
1.0
5.844 0.000 0.000
0.000 5.844 0.000
-2.923 -2.922 4.134
Rb Pu Ru O
2 1 1 6
direct
0.750 0.250 0.500 Rb
0.250 0.750 0.500 Rb
0.500 0.500 0.000 Pu
0.000 0.000 0.000 Ru
0.754 0.755 0.000 O
0.755 0.755 0.509 O
0.246 0.246 0.000 O
0.754 0.246 0.000 O
0.245 0.246 0.490 O
0.246 0.755 0.000 O
```

Computed properties:
Crystal system: cubic
Density of states at the Fermi level (states/eV/f.u.): 4.06
Total DFT energy (no corrections) (eV/atom): -7.35
Symmetry: Fm-3m, No. 225
Magnetic moment (μB/cell): 0.18


(6)
RbPuSO after structural relaxation, computed with PBE.

```
RbPuSO
1.0
3.789 -0.001 0.000
-1.894 3.281 -0.004
-1.893 -1.101 7.431
Rb Pu S O
1 1 1 1
direct
0.969 0.384 0.366 Rb
0.280 0.537 0.834 Pu
0.100 0.948 0.063 S
0.529 0.161 0.707 O
```

Computed properties:
Crystal system: monoclinic
Density of states at the Fermi level (states/eV/f.u.): 6.48
Total DFT energy (no corrections) (eV/atom): -7.96
Symmetry: Cm, No. 8
Magnetic moment (μB/cell): 5.00


(7)
RbPuS2O8 after structural relaxation, computed with PBE.

```
RbPuS2O8
1.0
-0.678 0.449 5.524
4.075 -3.213 -2.061
5.238 6.573 0.108
Rb Pu S O
1 1 2 8
direct
0.000 0.000 0.500 Rb
0.000 0.000 0.000 Pu
0.333 0.667 0.763 S
0.667 0.333 0.237 S
0.188 0.377 0.826 O
0.188 0.812 0.826 O
0.623 0.812 0.826 O
0.377 0.188 0.174 O
0.667 0.333 0.410 O
0.333 0.667 0.590 O
0.812 0.623 0.174 O
0.812 0.188 0.174 O
```

Computed properties:
Crystal system: trigonal
Density of states at the Fermi level (states/eV/f.u.): 8.73
Total DFT energy (no corrections) (eV/atom): -7.19
Symmetry: P-3m1, No. 164
Magnetic moment (μB/cell): 5.00


(8)
RbPu2SbO8 after structural relaxation, computed with PBE.

```
RbPu2SbO8
1.0
5.291 0.065 -0.004
0.124 5.277 -0.006
0.005 0.008 6.988
Rb Pu Sb O
1 2 1 8
direct
0.000 0.000 0.500 Rb
0.500 0.500 0.755 Pu
0.500 0.500 0.245 Pu
0.000 0.000 0.000 Sb
0.235 0.763 0.217 O
0.692 0.694 0.000 O
0.765 0.237 0.217 O
0.765 0.237 0.783 O
0.308 0.306 0.000 O
0.235 0.763 0.783 O
0.656 0.659 0.500 O
0.344 0.341 0.500 O
```

Computed properties:
Crystal system: monoclinic
Density of states at the Fermi level (states/eV/f.u.): 2.95
Total DFT energy (no corrections) (eV/atom): -8.17
Symmetry: P2/m, No. 10
Magnetic moment (μB/cell): 4.00


(9)
Rb2PuSbO6 after structural relaxation, computed with PBE.

```
Rb2PuSbO6
1.0
-5.386 0.837 2.720
0.861 -5.070 3.266
-0.345 0.197 6.079
Rb Pu Sb O
2 1 1 6
direct
0.750 0.250 0.500 Rb
0.250 0.750 0.500 Rb
0.500 0.500 0.000 Pu
0.000 0.000 0.000 Sb
0.262 0.262 0.477 O
0.738 0.738 0.000 O
0.262 0.738 0.000 O
0.738 0.262 0.000 O
0.262 0.262 0.000 O
0.738 0.738 0.523 O
```

Computed properties:
Crystal system: cubic
Density of states at the Fermi level (states/eV/f.u.): 2.71
Total DFT energy (no corrections) (eV/atom): -6.95
Symmetry: Fm-3m, No. 225
Magnetic moment (μB/cell): 0.98


(10)
RbPuSb2O8 after structural relaxation, computed with PBE.

```
RbPuSb2O8
1.0
-0.971 -3.968 3.296
4.653 0.383 2.388
-2.561 4.215 4.329
Rb Pu Sb O
1 1 2 8
direct
0.000 0.000 0.500 Rb
0.000 0.000 0.000 Pu
0.500 0.500 0.752 Sb
0.500 0.500 0.248 Sb
0.221 0.777 0.202 O
0.683 0.684 0.000 O
0.778 0.222 0.202 O
0.779 0.223 0.798 O
0.317 0.316 0.000 O
0.222 0.778 0.798 O
0.661 0.663 0.500 O
0.339 0.337 0.500 O
```

Computed properties:
Crystal system: triclinic
Density of states at the Fermi level (states/eV/f.u.): 4.29
Total DFT energy (no corrections) (eV/atom): -6.89
Symmetry: P-1, No. 2
Magnetic moment (μB/cell): 3.00


(11)
Rb2PuScO4 after structural relaxation, computed with PBE.

```
Rb2PuScO4
1.0
-1.939 -1.283 -2.560
-1.241 -4.787 3.339
-4.808 4.625 1.325
Rb Pu Sc O
2 1 1 4
direct
0.500 0.000 0.500 Rb
0.000 0.500 0.500 Rb
0.500 0.500 0.000 Pu
0.000 0.000 0.000 Sc
0.500 0.209 0.171 O
0.500 0.791 0.829 O
0.000 0.258 0.827 O
0.000 0.742 0.173 O
```

Computed properties:
Crystal system: monoclinic
Density of states at the Fermi level (states/eV/f.u.): 5.38
Total DFT energy (no corrections) (eV/atom): -7.75
Symmetry: P2/m, No. 10
Magnetic moment (μB/cell): 5.00


(12)
Rb2PuScO6 after structural relaxation, computed with PBE.

```
Rb2PuScO6
1.0
-0.101 5.624 1.954
-4.388 -1.392 3.777
5.691 -1.946 5.894
Rb Pu Sc O
4 2 2 12
direct
0.500 0.750 0.250 Rb
0.000 0.250 0.750 Rb
0.500 0.750 0.750 Rb
0.000 0.250 0.250 Rb
0.500 0.250 0.500 Pu
0.000 0.750 0.000 Pu
0.000 0.750 0.500 Sc
0.500 0.250 0.000 Sc
0.500 0.250 0.258 O
0.500 0.250 0.742 O
0.000 0.750 0.242 O
0.000 0.750 0.758 O
0.258 0.008 0.500 O
0.742 0.008 0.500 O
0.258 0.492 0.500 O
0.742 0.492 0.500 O
0.758 0.508 0.000 O
0.242 0.508 0.000 O
0.242 0.992 0.000 O
0.758 0.992 0.000 O
```

Computed properties:
Crystal system: cubic
Total DFT energy (no corrections) (eV/atom): -7.71
Symmetry: Fm-3m, No. 225
Magnetic moment (μB/cell): 2.00


(13)
RbPuSe2O8 after structural relaxation, computed with PBE.

```
RbPuSe2O8
1.0
6.270 0.000 0.000
-3.135 5.430 0.000
0.000 0.000 7.747
Rb Pu Se O
1 1 2 8
direct
0.000 0.000 0.500 Rb
0.000 0.000 0.000 Pu
0.333 0.667 0.814 Se
0.667 0.333 0.186 Se
0.151 0.301 0.846 O
0.151 0.849 0.846 O
0.699 0.849 0.846 O
0.301 0.151 0.154 O
0.667 0.333 0.396 O
0.333 0.667 0.604 O
0.849 0.699 0.154 O
0.849 0.151 0.154 O
```

Computed properties:
Crystal system: trigonal
Density of states at the Fermi level (states/eV/f.u.): 1.41
Total DFT energy (no corrections) (eV/atom): -6.51
Symmetry: P-3m1, No. 164
Magnetic moment (μB/cell): 1.02


(14)
Rb2PuSeO6 after structural relaxation, computed with PBE.

```
Rb2PuSeO6
1.0
5.785 0.000 0.000
0.000 5.786 0.000
2.893 2.893 5.174
Rb Pu Se O
2 1 1 6
direct
0.750 0.250 0.500 Rb
0.250 0.750 0.500 Rb
0.000 0.000 0.000 Pu
0.500 0.500 0.000 Se
0.181 0.181 0.639 O
0.739 0.739 0.000 O
0.261 0.739 0.000 O
0.739 0.261 0.000 O
0.261 0.261 0.000 O
0.819 0.819 0.362 O
```

Computed properties:
Crystal system: tetragonal
Density of states at the Fermi level (states/eV/f.u.): 2.36
Total DFT energy (no corrections) (eV/atom): -6.68
Symmetry: I4/mmm, No. 139
Magnetic moment (μB/cell): 1.15


(15)
Rb2PuSi2O6 after structural relaxation, computed with PBE.

```
Rb2PuSi2O6
1.0
5.918 0.000 0.000
2.959 5.125 0.000
2.959 1.708 5.963
Rb Pu Si O
2 1 2 6
direct
0.778 0.778 0.667 Rb
0.222 0.222 0.333 Rb
0.000 0.000 0.000 Pu
0.433 0.433 0.700 Si
0.567 0.567 0.300 Si
0.748 0.748 0.217 O
0.286 0.748 0.217 O
0.748 0.286 0.217 O
0.252 0.714 0.783 O
0.714 0.252 0.783 O
0.252 0.252 0.783 O
```

Computed properties:
Crystal system: trigonal
Density of states at the Fermi level (states/eV/f.u.): 2.88
Total DFT energy (no corrections) (eV/atom): -7.65
Symmetry: R-3m, No. 166
Magnetic moment (μB/cell): 4.00


(16)
RbPuSi2O8 after structural relaxation, computed with PBE.

```
RbPuSi2O8
1.0
5.278 -0.044 -0.028
2.396 4.703 -0.028
0.300 0.182 8.785
Rb Pu Si O
1 1 2 8
direct
0.000 0.000 0.500 Rb
0.000 0.000 0.000 Pu
0.645 0.645 0.205 Si
0.355 0.355 0.795 Si
0.697 0.216 0.840 O
0.785 0.785 0.073 O
0.693 0.693 0.375 O
0.307 0.307 0.625 O
0.215 0.215 0.927 O
0.216 0.697 0.840 O
0.784 0.303 0.160 O
0.303 0.784 0.160 O
```

Computed properties:
Crystal system: monoclinic
Density of states at the Fermi level (states/eV/f.u.): 3.88
Total DFT energy (no corrections) (eV/atom): -7.79
Symmetry: C2/m, No. 12
Magnetic moment (μB/cell): 0.97


(17)
Rb2PuSiO6 after structural relaxation, computed with PBE.

```
Rb2PuSiO6
1.0
5.583 0.000 0.001
0.000 5.583 0.001
2.792 2.792 5.045
Rb Pu Si O
2 1 1 6
direct
0.750 0.250 0.500 Rb
0.250 0.750 0.500 Rb
0.000 0.000 0.000 Pu
0.500 0.500 0.000 Si
0.185 0.185 0.629 O
0.716 0.716 0.000 O
0.284 0.716 0.000 O
0.716 0.284 0.000 O
0.284 0.284 0.000 O
0.815 0.815 0.371 O
```

Computed properties:
Crystal system: tetragonal
Density of states at the Fermi level (states/eV/f.u.): 3.66
Total DFT energy (no corrections) (eV/atom): -7.36
Symmetry: I4/mmm, No. 139
Magnetic moment (μB/cell): 2.00


(18)
RbPuSiO5 after structural relaxation, computed with PBE.

```
RbPuSiO5
1.0
-2.273 -3.558 4.356
-0.553 -3.156 -5.151
7.800 0.291 1.423
Rb Pu Si O
2 2 2 10
direct
0.336 0.664 0.250 Rb
0.664 0.336 0.750 Rb
0.000 0.000 0.500 Pu
0.000 0.000 0.000 Pu
0.692 0.308 0.250 Si
0.308 0.692 0.750 Si
0.058 0.942 0.250 O
0.942 0.058 0.750 O
0.867 0.283 0.120 O
0.133 0.717 0.880 O
0.717 0.133 0.380 O
0.283 0.867 0.620 O
0.778 0.601 0.382 O
0.222 0.399 0.618 O
0.399 0.222 0.118 O
0.601 0.778 0.882 O
```

Computed properties:
Crystal system: monoclinic
Density of states at the Fermi level (states/eV/f.u.): 6.57
Total DFT energy (no corrections) (eV/atom): -8.27
Symmetry: C2/c, No. 15
Magnetic moment (μB/cell): 6.00


(19)
Rb2SmPuO6 after structural relaxation, computed with PBE.

```
Rb2SmPuO6
1.0
6.194 0.000 0.000
0.000 6.194 0.000
0.000 0.000 8.760
Rb Sm Pu O
4 2 2 12
direct
0.500 0.750 0.250 Rb
0.000 0.250 0.750 Rb
0.500 0.750 0.750 Rb
0.000 0.250 0.250 Rb
0.000 0.750 0.500 Sm
0.500 0.250 0.000 Sm
0.500 0.250 0.500 Pu
0.000 0.750 0.000 Pu
0.500 0.250 0.268 O
0.500 0.250 0.732 O
0.000 0.750 0.232 O
0.000 0.750 0.768 O
0.268 0.018 0.500 O
0.732 0.018 0.500 O
0.268 0.482 0.500 O
0.732 0.482 0.500 O
0.768 0.518 0.000 O
0.232 0.518 0.000 O
0.232 0.982 0.000 O
0.768 0.982 0.000 O
```

Computed properties:
Crystal system: cubic
Total DFT energy (no corrections) (eV/atom): -7.58
Symmetry: Fm-3m, No. 225
Magnetic moment (μB/cell): 2.00


(20)
Rb2Sm2PuO6 after structural relaxation, computed with PBE.

```
Rb2Sm2PuO6
1.0
-3.214 -4.498 2.717
4.129 3.212 3.252
-5.053 4.831 -0.270
Rb Sm Pu O
2 2 1 6
direct
0.833 0.167 0.000 Rb
0.167 0.833 0.000 Rb
0.334 0.666 0.500 Sm
0.666 0.334 0.500 Sm
0.000 0.000 0.500 Pu
0.743 0.743 0.666 O
0.048 0.374 0.666 O
0.257 0.257 0.334 O
0.374 0.048 0.666 O
0.952 0.626 0.334 O
0.626 0.952 0.334 O
```

Computed properties:
Crystal system: monoclinic
Density of states at the Fermi level (states/eV/f.u.): 1.84
Total DFT energy (no corrections) (eV/atom): -7.77
Symmetry: C2/m, No. 12
Magnetic moment (μB/cell): 4.00